A geometry-optimized TbGa3C structure. Source: the Open Quantum Materials Database, functional PBE.

abc: 4.462 4.462 4.462
angles: 90.00 90.00 90.00
Atoms (fractional coordinates):
Ga (0.000, 0.000, 0.500)
Ga (0.500, 0.000, 0.000)
Ga (0.000, 0.500, 0.000)
C (0.000, 0.000, 0.000)
Tb (0.500, 0.500, 0.500)

Output
Uncorrected energy, eV per atom: -4.141

---

A geometry-optimized NaZrAsO structure. Source: the Open Quantum Materials Database, functional PBE.

abc: 3.669 7.369 5.674
angles: 90.00 90.00 90.00
Atoms (fractional coordinates):
O (0.500, 0.264, 0.378)
O (0.500, 0.736, 0.878)
Na (0.500, 0.494, 0.118)
Na (0.500, 0.506, 0.618)
As (0.000, 0.785, 0.378)
As (0.000, 0.215, 0.878)
Zr (0.000, 0.856, 0.880)
Zr (0.000, 0.144, 0.380)

Output
Energy relative to the lowest polymorph listed for this composition, meV/atom: 142.4

---

A geometry-optimized MgGaFe2 structure. Source: the Open Quantum Materials Database, functional PBE.

abc: 6.067 6.067 6.067
angles: 90.00 90.00 90.00
Each line ends with the local moment (μB).
Atoms (fractional coordinates):
Fe (0.730, 0.730, 0.270)  2.20
Fe (0.730, 0.270, 0.730)  2.19
Fe (0.270, 0.730, 0.270)  2.19
Fe (0.270, 0.270, 0.730)  2.20
Fe (0.730, 0.270, 0.270)  2.20
Fe (0.730, 0.730, 0.730)  2.22
Fe (0.270, 0.730, 0.730)  2.20
Fe (0.270, 0.270, 0.270)  2.22
Ga (0.500, 0.000, 0.500)  -0.10
Ga (0.500, 0.500, 0.000)  -0.09
Ga (0.500, 0.500, 0.500)  -0.12
Ga (0.000, 0.500, 0.500)  -0.11
Mg (0.000, 0.000, 0.500)  -0.04
Mg (0.500, 0.000, 0.000)  -0.03
Mg (0.000, 0.500, 0.000)  -0.03
Mg (0.000, 0.000, 0.000)  -0.04

Output
Uncorrected energy, eV per atom: -5.198

---

A geometry-optimized RbZrAuSe3 structure. Source: the Open Quantum Materials Database, functional PBE.

abc: 12.569 4.185 12.880
angles: 90.00 90.00 90.00
Atoms (fractional coordinates):
Rb (0.821, 0.750, 0.042)
Rb (0.321, 0.750, 0.458)
Rb (0.179, 0.250, 0.958)
Rb (0.679, 0.250, 0.542)
Zr (0.038, 0.250, 0.653)
Zr (0.538, 0.250, 0.847)
Zr (0.462, 0.750, 0.153)
Zr (0.962, 0.750, 0.347)
Se (0.003, 0.750, 0.802)
Se (0.497, 0.250, 0.302)
Se (0.244, 0.750, 0.150)
Se (0.756, 0.250, 0.850)
Se (0.423, 0.750, 0.937)
Se (0.256, 0.250, 0.650)
Se (0.503, 0.750, 0.698)
Se (0.997, 0.250, 0.198)
Se (0.923, 0.750, 0.563)
Se (0.077, 0.250, 0.437)
Se (0.744, 0.750, 0.350)
Se (0.577, 0.250, 0.063)
Au (0.808, 0.250, 0.264)
Au (0.308, 0.250, 0.236)
Au (0.192, 0.750, 0.736)
Au (0.692, 0.750, 0.764)

Output
Uncorrected energy, eV per atom: -4.772

---

A geometry-optimized RbSrGdSe3 structure. Source: the Open Quantum Materials Database, functional PBE.

abc: 9.825 9.825 12.237
angles: 118.96 118.96 25.08
Atoms (fractional coordinates):
Se (0.715, 0.715, 0.244)
Se (0.344, 0.344, 0.115)
Se (0.500, 0.500, 0.500)
Se (0.285, 0.285, 0.756)
Se (0.000, 0.000, 0.000)
Se (0.656, 0.656, 0.885)
Gd (0.832, 0.832, 0.934)
Gd (0.168, 0.168, 0.066)
Sr (0.115, 0.115, 0.678)
Sr (0.885, 0.885, 0.322)
Rb (0.451, 0.451, 0.751)
Rb (0.549, 0.549, 0.249)

Output
Uncorrected energy, eV per atom: -4.663

---

A geometry-optimized DyTeBr structure. Source: the Open Quantum Materials Database, functional PBE.

abc: 7.486 8.413 7.383
angles: 90.00 110.12 90.00
Atoms (fractional coordinates):
Dy (0.515, 0.372, 0.740)
Dy (0.515, 0.128, 0.240)
Dy (0.485, 0.872, 0.760)
Dy (0.485, 0.628, 0.260)
Br (0.280, 0.375, 0.003)
Br (0.720, 0.875, 0.497)
Br (0.720, 0.625, 0.997)
Br (0.280, 0.125, 0.503)
Te (0.760, 0.118, 0.999)
Te (0.760, 0.382, 0.499)
Te (0.240, 0.618, 0.501)
Te (0.240, 0.882, 0.001)

Output
Uncorrected energy, eV per atom: -4.689

---

A geometry-optimized UAl structure. Source: the Open Quantum Materials Database, functional PBE.

abc: 2.864 2.864 5.296
angles: 90.00 90.00 120.00
Each line ends with the local moment (μB).
Atoms (fractional coordinates):
Al (0.667, 0.333, 0.750)  -0.01
U (0.333, 0.667, 0.250)  0.33

Output
Uncorrected energy, eV per atom: -7.616

---

A geometry-optimized HgH7CNCl3 structure. Source: the Open Quantum Materials Database, functional PBE.

abc: 8.009 8.009 10.783
angles: 90.00 90.00 120.00
Atoms (fractional coordinates):
Cl (0.716, 0.541, 0.671)
Cl (0.459, 0.174, 0.337)
Cl (0.253, 0.066, 0.703)
Cl (0.934, 0.187, 0.370)
Cl (0.467, 0.647, 0.409)
Cl (0.353, 0.820, 0.075)
Cl (0.180, 0.533, 0.742)
Cl (0.813, 0.747, 0.037)
Cl (0.826, 0.284, 0.004)
H (0.020, 0.846, 0.334)
H (0.338, 0.460, 0.873)
H (0.491, 0.037, 0.613)
H (0.107, 0.719, 0.427)
H (0.546, 0.509, 0.946)
H (0.612, 0.893, 0.760)
H (0.875, 0.637, 0.736)
H (0.122, 0.662, 0.206)
H (0.825, 0.980, 0.667)
H (0.281, 0.388, 0.093)
H (0.692, 0.112, 0.523)
H (0.363, 0.238, 0.403)
H (0.373, 0.225, 0.078)
H (0.852, 0.627, 0.411)
H (0.540, 0.878, 0.539)
H (0.963, 0.454, 0.279)
H (0.154, 0.175, 0.000)
H (0.762, 0.125, 0.070)
H (0.421, 0.308, 0.856)
H (0.775, 0.148, 0.744)
H (0.888, 0.579, 0.190)
N (0.409, 0.399, 0.920)
N (0.990, 0.591, 0.254)
N (0.601, 0.010, 0.587)
C (0.711, 0.008, 0.698)
C (0.297, 0.289, 0.031)
C (0.992, 0.703, 0.364)
Hg (0.217, 0.335, 0.555)
Hg (0.119, 0.783, 0.888)
Hg (0.665, 0.881, 0.221)

Output
Uncorrected energy, eV per atom: -4.023

---

A geometry-optimized Rb2Tb4Cu4S9 structure. Source: the Open Quantum Materials Database, functional PBE.

abc: 7.235 7.235 16.010
angles: 108.51 108.51 31.82
Atoms (fractional coordinates):
S (0.362, 0.362, 0.075)
S (0.500, 0.500, 0.500)
S (0.156, 0.156, 0.723)
S (0.893, 0.893, 0.875)
S (0.844, 0.844, 0.277)
S (0.107, 0.107, 0.125)
S (0.797, 0.797, 0.601)
S (0.203, 0.203, 0.399)
S (0.638, 0.638, 0.925)
Cu (0.070, 0.070, 0.961)
Cu (0.252, 0.252, 0.271)
Cu (0.930, 0.930, 0.039)
Cu (0.748, 0.748, 0.729)
Tb (0.732, 0.732, 0.104)
Tb (0.154, 0.154, 0.554)
Tb (0.846, 0.846, 0.446)
Tb (0.268, 0.268, 0.896)
Rb (0.528, 0.528, 0.271)
Rb (0.472, 0.472, 0.729)

Output
Uncorrected energy, eV per atom: -5.234

---

A geometry-optimized DyHo2Ga3CuNi2 structure. Source: the Open Quantum Materials Database, functional PBE.

abc: 3.717 7.101 7.101
angles: 120.02 90.00 90.00
Atoms (fractional coordinates):
Ga (0.500, 0.745, 0.745)
Ga (0.500, 0.255, 0.999)
Ga (0.500, 0.999, 0.255)
Cu (0.000, 0.000, 0.000)
Ho (0.000, 0.000, 0.587)
Ho (0.000, 0.587, 0.000)
Dy (0.000, 0.413, 0.413)
Ni (0.500, 0.667, 0.333)
Ni (0.500, 0.333, 0.667)

Output
Uncorrected energy, eV per atom: -4.785

---

A geometry-optimized LuZn2Bi structure. Source: the Open Quantum Materials Database, functional PBE.

abc: 5.077 5.077 5.077
angles: 60.00 60.00 60.00
Atoms (fractional coordinates):
Lu (0.250, 0.250, 0.250)
Zn (0.000, 0.000, 0.000)
Zn (0.750, 0.750, 0.750)
Bi (0.500, 0.500, 0.500)

Output
Uncorrected energy, eV per atom: -2.802

---

A geometry-optimized LiBeNiPb structure. Source: the Open Quantum Materials Database, functional PBE.

abc: 4.332 4.332 4.332
angles: 60.00 60.00 60.00
Atoms (fractional coordinates):
Li (0.750, 0.750, 0.750)
Be (0.000, 0.000, 0.000)
Ni (0.500, 0.500, 0.500)
Pb (0.250, 0.250, 0.250)

Output
Energy relative to the lowest polymorph listed for this composition, meV/atom: 99.9